# 1
## Ni5MoIr (GGA-PBE)

Data for Ni5MoIr after structural relaxation.

The space group is Imm2 (No. 44) and the conventional cell measures 4.599, 4.653 and 8.338 Å, with angles of 90.00, 90.00 and 90.00 degrees. Symmetry generates all atoms from Ni at (0.000, 0.000, 0.000), Ni at (0.000, 0.257, 0.539), Ni at (0.245, 0.500, 0.249), Mo at (0.000, 0.500, 0.908) and Ir at (0.000, 0.000, 0.273).

As for the density of states at the Fermi level: 1.588 states/eV/atom. The value obtained for the formation enthalpy at 0 K is 222 meV/atom. The value obtained for the calculated density is 10.825 g/cm³.

=====

# 2
## Ni3Mo2Ir4 (GGA-PBE)

Data for Ni3Mo2Ir4 after structural relaxation.

The space group is C2/m (No. 12) and the conventional cell measures 8.500, 3.807 and 7.967 Å, with angles of 90.00, 107.64 and 90.00 degrees. Symmetry generates all atoms from Ni at (0.000, 0.000, 0.000), Ni at (0.169, 0.500, 0.554), Mo at (0.169, 0.500, 0.225), Ir at (0.005, 0.000, 0.338) and Ir at (0.161, 0.500, 0.888).

As for the density of states at the Fermi level: 1.107 states/eV/atom. The value obtained for the formation enthalpy at 0 K is -179 meV/atom. The value obtained for the calculated density is 15.368 g/cm³.

=====

# 3
## Ni2MoIr (GGA-PBE)

Data for Ni2MoIr after structural relaxation.

The space group is I-42d (No. 122) and the conventional cell measures 5.495, 5.495 and 9.731 Å, with angles of 90.00, 90.00 and 90.00 degrees. Symmetry generates all atoms from Ni at (0.248, 0.250, 0.125), Mo at (0.000, 0.000, 0.500) and Ir at (0.000, 0.000, 0.000).

As for the density of states at the Fermi level: 0.662 states/eV/atom. The value obtained for the formation enthalpy at 0 K is 1248 meV/atom. As for the offset from the most stable computed form: 1442 meV/atom. The value obtained for the calculated density is 9.169 g/cm³.

=====

# 4
## Ni2MoIr (GGA-PBE)

Data for Ni2MoIr after structural relaxation.

The space group is P4mm (No. 99) and the conventional cell measures 2.711, 2.711 and 7.136 Å, with angles of 90.00, 90.00 and 90.00 degrees. Symmetry generates all atoms from Ni at (0.000, 0.000, 0.000), Ni at (0.500, 0.500, 0.227), Mo at (0.500, 0.500, 0.752) and Ir at (0.000, 0.000, 0.478).

As for the density of states at the Fermi level: 1.631 states/eV/atom. The value obtained for the formation enthalpy at 0 K is -30 meV/atom. As for the offset from the most stable computed form: 164 meV/atom. The value obtained for the calculated density is 12.841 g/cm³.

=====

Question: Which value of calculated density does entry 1 give?
Answer: 10.825 g/cm³